1.
VASP calculation (PBE-GGA) on a relaxed Y3Ag4AsS8 crystal.

Lattice parameters (Å, degrees): 7.9367 7.7507 7.9289 121.25 120.03 90.00
Fractional coordinates of all 16 atoms:
S1 0.2409 0.7373 0.4817
As1 0.0000 0.5000 0.0000
Ag1 0.0000 0.0000 0.0000
S2 0.2527 0.2615 0.5054
S3 0.7473 0.7385 0.4946
Y1 0.0000 0.5000 0.5000
S4 0.7600 0.2636 0.0003
Y2 0.5000 0.5000 0.0000
S5 0.2400 0.7364 0.9997
S6 0.2403 0.2636 0.0003
S7 0.7597 0.7364 0.9997
Ag2 0.5000 0.0000 0.0000
S8 0.7591 0.2627 0.5183
Ag3 0.0000 0.0000 0.5000
Y3 0.5000 0.5000 0.5000
Ag4 0.5000 0.0000 0.5000

Summary:
Crystal system: monoclinic

---

2.
VASP calculation (PBE-GGA) on a relaxed ZnAg2AsS4 crystal.

Lattice parameters (Å, degrees): 5.7998 5.8004 6.8121 115.21 115.20 90.00
Fractional coordinates of all 8 atoms:
S1 0.3595 0.8331 0.2199
Zn1 0.9858 0.4858 0.9718
Ag1 0.2359 0.2358 0.4716
S2 0.0849 0.1123 0.7235
Ag2 0.4859 0.9860 0.9718
S3 0.8606 0.3869 0.2200
S4 0.6386 0.6113 0.7237
As1 0.7359 0.7359 0.4718

Summary:
DOS(E_F) (states/eV per cell): 4.35
Crystal system: tetragonal

---

3.
VASP calculation (PBE-GGA) on a relaxed Ag2SbAs crystal.

Lattice parameters (Å, degrees): 4.9260 4.9260 6.7055 101.33 101.33 36.20
Fractional coordinates of all 4 atoms:
Ag1 0.9447 0.9447 0.0004
As1 0.5999 0.5999 0.3995
Sb1 0.6470 0.6470 0.8142
Ag2 0.3084 0.3084 0.2859

Summary:
DOS(E_F) (states/eV per cell): 1.22
Crystal system: monoclinic
Excess energy over the best structure of this formula in the dataset (meV/atom): 7

---

| no. | uncorrected formation energy (eV per atom) | total magnetization (μB/f.u.) |
| --- | --- | --- |
| 1 | -0.95 | 0.00 |
| 2 | -0.18 | 0.00 |
| 3 | 0.14 | 0.00 |